# 1
This record from the Alexandria database describes a relaxed Pr3Zn2Pd4 crystal. The functional is PBE. Values from VASP.

Summary:
total energy: -4.879 eV/atom
calculated formation energy: -0.70 eV per atom

Geometry as Quantum ESPRESSO input:
```
&SYSTEM
  ibrav = 0, nat = 9, ntyp = 3
/
ATOMIC_SPECIES
Pr 140.91 Pr.upf
Zn 65.41 Zn.upf
Pd 106.42 Pd.upf
CELL_PARAMETERS angstrom
5.1372 -2.1866 0.0000
5.1372 2.1866 0.0000
-1.1816 0.0000 8.8235
ATOMIC_POSITIONS crystal
Pr 0.0000 0.0000 0.0000
Pr 0.3769 0.3769 0.6196
Pr 0.6231 0.6231 0.3804
Zn 0.3190 0.3190 0.2171
Zn 0.6810 0.6810 0.7829
Pd 0.0856 0.0856 0.6379
Pd 0.2819 0.2819 0.9130
Pd 0.7181 0.7181 0.0870
Pd 0.9144 0.9144 0.3621
```

***

# 2
This record from the Alexandria database describes a relaxed Pr2ZnPd5 crystal. The functional is PBE. Values from VASP.

Summary:
total energy: -5.267 eV/atom
calculated formation energy: -0.67 eV per atom

Geometry as Quantum ESPRESSO input:
```
&SYSTEM
  ibrav = 0, nat = 8, ntyp = 3
/
ATOMIC_SPECIES
Pr 140.91 Pr.upf
Zn 65.41 Zn.upf
Pd 106.42 Pd.upf
CELL_PARAMETERS angstrom
-3.1297 3.1297 4.0858
3.1297 -3.1297 4.0858
3.1297 3.1297 -4.0858
ATOMIC_POSITIONS crystal
Pr 0.0000 0.5000 0.5000
Pr 0.5000 0.0000 0.5000
Zn 0.1797 0.1797 0.0000
Pd 0.5002 0.5002 0.0000
Pd 0.5320 0.5320 0.5538
Pd 0.5320 0.9782 0.0000
Pd 0.9782 0.5320 0.0000
Pd 0.9782 0.9782 0.4462
```

***

# 3
This record from the Alexandria database describes a relaxed Pr3Zn2Pd5 crystal. The functional is PBE. Values from VASP.

Summary:
total energy: -4.970 eV/atom
calculated formation energy: -0.68 eV per atom

Geometry as Quantum ESPRESSO input:
```
&SYSTEM
  ibrav = 0, nat = 20, ntyp = 3
/
ATOMIC_SPECIES
Pr 140.91 Pr.upf
Zn 65.41 Zn.upf
Pd 106.42 Pd.upf
CELL_PARAMETERS angstrom
10.1833 0.0000 0.0000
0.0000 10.1833 0.0000
0.0000 0.0000 3.9536
ATOMIC_POSITIONS crystal
Pr 0.0000 0.0000 0.0000
Pr 0.1777 0.3223 0.0000
Pr 0.3223 0.8223 0.0000
Pr 0.5000 0.5000 0.0000
Pr 0.6777 0.1777 0.0000
Pr 0.8223 0.6777 0.0000
Zn 0.1161 0.6161 0.0000
Zn 0.3839 0.1161 0.0000
Zn 0.6161 0.8839 0.0000
Zn 0.8839 0.3839 0.0000
Pd 0.0000 0.5000 0.5000
Pd 0.0689 0.7805 0.5000
Pd 0.2195 0.0689 0.5000
Pd 0.2805 0.5689 0.5000
Pd 0.4311 0.2805 0.5000
Pd 0.5000 0.0000 0.5000
Pd 0.5689 0.7195 0.5000
Pd 0.7195 0.4311 0.5000
Pd 0.7805 0.9311 0.5000
Pd 0.9311 0.2195 0.5000
```

***

# 4
This record from the Alexandria database describes a relaxed Pr2Zn3Pd crystal. The functional is PBE. Values from VASP.

Summary:
total energy: -3.588 eV/atom
calculated formation energy: -0.49 eV per atom

Geometry as Quantum ESPRESSO input:
```
&SYSTEM
  ibrav = 0, nat = 6, ntyp = 3
/
ATOMIC_SPECIES
Pr 140.91 Pr.upf
Zn 65.41 Zn.upf
Pd 106.42 Pd.upf
CELL_PARAMETERS angstrom
3.7360 0.0000 0.0000
0.0000 4.5331 0.0000
0.0000 0.0000 7.8924
ATOMIC_POSITIONS crystal
Pr 0.0000 0.0000 0.0000
Pr 0.0000 0.5000 0.4723
Zn 0.5000 0.0000 0.6596
Zn 0.5000 0.5000 0.1457
Zn 0.5000 0.5000 0.8158
Pd 0.5000 0.0000 0.3228
```

***

# 5
This record from the Alexandria database describes a relaxed Pr6ZnPd2 crystal. The functional is PBE. Values from VASP.

Summary:
total energy: -4.871 eV/atom
calculated formation energy: -0.39 eV per atom

Geometry as Quantum ESPRESSO input:
```
&SYSTEM
  ibrav = 0, nat = 18, ntyp = 3
/
ATOMIC_SPECIES
Pr 140.91 Pr.upf
Zn 65.41 Zn.upf
Pd 106.42 Pd.upf
CELL_PARAMETERS angstrom
-4.8811 5.0700 5.3272
4.8811 -5.0700 5.3272
4.8811 5.0700 -5.3272
ATOMIC_POSITIONS crystal
Pr 0.0535 0.2428 0.8107
Pr 0.1756 0.2805 0.4561
Pr 0.1756 0.7195 0.8951
Pr 0.3293 0.0298 0.7005
Pr 0.3293 0.6289 0.2995
Pr 0.4320 0.2428 0.1893
Pr 0.5680 0.7572 0.8107
Pr 0.6707 0.3711 0.7005
Pr 0.6707 0.9702 0.2995
Pr 0.8244 0.2805 0.1049
Pr 0.8244 0.7195 0.5439
Pr 0.9465 0.7572 0.1893
Zn 0.0000 0.0000 0.0000
Zn 0.5000 0.5000 0.0000
Pd 0.1305 0.6305 0.5000
Pd 0.3452 0.0000 0.3452
Pd 0.6548 0.0000 0.6548
Pd 0.8695 0.3695 0.5000
```

***

# 6
This record from the Alexandria database describes a relaxed Pr2ZnPd4 crystal. The functional is PBE. Values from VASP.

Summary:
total energy: -5.080 eV/atom
calculated formation energy: -0.57 eV per atom

Geometry as Quantum ESPRESSO input:
```
&SYSTEM
  ibrav = 0, nat = 7, ntyp = 3
/
ATOMIC_SPECIES
Pr 140.91 Pr.upf
Zn 65.41 Zn.upf
Pd 106.42 Pd.upf
CELL_PARAMETERS angstrom
0.0000 4.4032 4.4308
4.0903 0.0000 4.4308
4.0903 4.4032 0.0000
ATOMIC_POSITIONS crystal
Pr 0.2500 0.2500 0.2500
Pr 0.7500 0.7500 0.7500
Zn 0.0000 0.0000 0.0000
Pd 0.2821 0.2821 0.7179
Pd 0.2845 0.7155 0.2845
Pd 0.7155 0.2845 0.7155
Pd 0.7179 0.7179 0.2821
```

***

# 7
This record from the Alexandria database describes a relaxed Pr4ZnPd crystal. The functional is PBE. Values from VASP.

Summary:
total energy: -4.601 eV/atom
calculated formation energy: -0.34 eV per atom

Geometry as Quantum ESPRESSO input:
```
&SYSTEM
  ibrav = 0, nat = 24, ntyp = 3
/
ATOMIC_SPECIES
Pr 140.91 Pr.upf
Zn 65.41 Zn.upf
Pd 106.42 Pd.upf
CELL_PARAMETERS angstrom
0.0000 7.0444 7.0444
7.0444 0.0000 7.0444
7.0444 7.0444 0.0000
ATOMIC_POSITIONS crystal
Pr 0.0549 0.0549 0.4451
Pr 0.0549 0.4451 0.0549
Pr 0.0549 0.4451 0.4451
Pr 0.1816 0.6061 0.6061
Pr 0.1856 0.1856 0.8144
Pr 0.1856 0.8144 0.1856
Pr 0.1856 0.8144 0.8144
Pr 0.4451 0.0549 0.0549
Pr 0.4451 0.0549 0.4451
Pr 0.4451 0.4451 0.0549
Pr 0.6061 0.1816 0.6061
Pr 0.6061 0.6061 0.1816
Pr 0.6061 0.6061 0.6061
Pr 0.8144 0.1856 0.1856
Pr 0.8144 0.1856 0.8144
Pr 0.8144 0.8144 0.1856
Zn 0.5113 0.8296 0.8296
Zn 0.8296 0.5113 0.8296
Zn 0.8296 0.8296 0.5113
Zn 0.8296 0.8296 0.8296
Pd 0.3951 0.3951 0.3951
Pd 0.3951 0.3951 0.8148
Pd 0.3951 0.8148 0.3951
Pd 0.8148 0.3951 0.3951
```

***

# 8
This record from the Alexandria database describes a relaxed PrZn12Pd4 crystal. The functional is PBE. Values from VASP.

Summary:
total energy: -2.452 eV/atom
calculated formation energy: -0.05 eV per atom

Geometry as Quantum ESPRESSO input:
```
&SYSTEM
  ibrav = 0, nat = 17, ntyp = 3
/
ATOMIC_SPECIES
Pr 140.91 Pr.upf
Zn 65.41 Zn.upf
Pd 106.42 Pd.upf
CELL_PARAMETERS angstrom
-4.3646 4.3646 4.3646
4.3646 -4.3646 4.3646
4.3646 4.3646 -4.3646
ATOMIC_POSITIONS crystal
Pr 0.0000 0.0000 0.0000
Zn 0.1524 0.5046 0.3522
Zn 0.1524 0.8002 0.6478
Zn 0.1998 0.3522 0.8476
Zn 0.3522 0.1524 0.5046
Zn 0.3522 0.8476 0.1998
Zn 0.4954 0.6478 0.8476
Zn 0.5046 0.3522 0.1524
Zn 0.6478 0.1524 0.8002
Zn 0.6478 0.8476 0.4954
Zn 0.8002 0.6478 0.1524
Zn 0.8476 0.1998 0.3522
Zn 0.8476 0.4954 0.6478
Pd 0.0000 0.0000 0.5000
Pd 0.0000 0.5000 0.0000
Pd 0.5000 0.0000 0.0000
Pd 0.5000 0.5000 0.5000
```

***

# 9
This record from the Alexandria database describes a relaxed Pr2ZnPd4 crystal. The functional is PBE. Values from VASP.

Summary:
total energy: -5.114 eV/atom
calculated formation energy: -0.60 eV per atom

Geometry as Quantum ESPRESSO input:
```
&SYSTEM
  ibrav = 0, nat = 7, ntyp = 3
/
ATOMIC_SPECIES
Pr 140.91 Pr.upf
Zn 65.41 Zn.upf
Pd 106.42 Pd.upf
CELL_PARAMETERS angstrom
4.9233 0.0000 0.0000
0.0000 4.1356 0.0000
-0.1676 0.0000 7.3497
ATOMIC_POSITIONS crystal
Pr 0.2472 0.0000 0.3189
Pr 0.7528 0.0000 0.6811
Zn 0.5000 0.5000 0.0000
Pd 0.2414 0.0000 0.8990
Pd 0.2579 0.5000 0.6332
Pd 0.7421 0.5000 0.3668
Pd 0.7586 0.0000 0.1010
```

***

# 10
This record from the Alexandria database describes a relaxed PrZn2Pd2 crystal. The functional is PBE. Values from VASP.

Summary:
total energy: -4.152 eV/atom
calculated formation energy: -0.61 eV per atom

Geometry as Quantum ESPRESSO input:
```
&SYSTEM
  ibrav = 0, nat = 5, ntyp = 3
/
ATOMIC_SPECIES
Pr 140.91 Pr.upf
Zn 65.41 Zn.upf
Pd 106.42 Pd.upf
CELL_PARAMETERS angstrom
-2.0291 2.0291 5.9375
2.0291 -2.0291 5.9375
2.0291 2.0291 -5.9375
ATOMIC_POSITIONS crystal
Pr 0.0000 0.0000 0.0000
Zn 0.2500 0.7500 0.5000
Zn 0.7500 0.2500 0.5000
Pd 0.3858 0.3858 0.0000
Pd 0.6142 0.6142 0.0000
```